# 1
Density functional theory data (PBE) for a relaxed structure of Cs2PmYO4.

**Raw formation energy**: -2.57 eV/atom
**Symmetry**: P2/m, No. 10
**Electronic total energy**: -6.6615 eV/atom

abc: 3.622 6.270 7.225
angles: 106.74 90.00 90.00
Element x y z (fractional)
Cs (0.500, 0.000, 0.500)
Cs (0.000, 0.500, 0.500)
Pm (0.500, 0.500, 0.000)
Y (0.000, 0.000, 0.000)
O (0.500, 0.216, 0.166)
O (0.500, 0.784, 0.834)
O (0.000, 0.271, 0.833)
O (0.000, 0.729, 0.167)

# 2
Density functional theory data (PBE) for a relaxed structure of Cs2PmZn2O4.

**Raw formation energy**: -1.65 eV/atom
**Symmetry**: C2/m, No. 12
**Electronic total energy**: -4.8592 eV/atom

abc: 3.540 7.211 7.562
angles: 106.37 103.54 90.00
Element x y z (fractional)
Cs (0.133, 0.563, 0.266)
Cs (0.867, 0.437, 0.734)
Pm (0.000, 0.000, 0.000)
Zn (0.681, 0.032, 0.361)
Zn (0.319, 0.968, 0.639)
O (0.170, 0.175, 0.339)
O (0.830, 0.825, 0.661)
O (0.549, 0.830, 0.098)
O (0.451, 0.170, 0.902)